# 1
Material: SiWBr2
Method: DFT, GGA-PBE
State: relaxed

Cell lengths 3.0527, 4.8460, 13.6275 Å; angles 90.00, 90.00, 90.00 degrees
Space group Imm2 (No. 44)
Symmetry-distinct sites (fractional):
Si: 0.0000 0.0000 0.0000 x2
W: 0.0000 0.5000 0.3426 x2
Br: 0.0000 0.0000 0.6924 x2
Br: 0.0000 0.5000 0.8740 x2

E above lowest polymorph = 543 meV/atom
Calculated total energy = -0.34957 Ry/atom

=====

# 2
Material: ErGaSiRh2
Method: DFT, GGA-PBE
State: relaxed

Cell lengths 4.1463, 13.6514, 6.5534 Å; angles 90.00, 90.00, 90.00 degrees
Space group Cmcm (No. 63)
Symmetry-distinct sites (fractional):
Er: 0.0000 0.1311 0.2500 x4
Ga: 0.0000 0.5000 0.0000 x4
Si: 0.0000 0.1988 0.7500 x4
Rh: 0.0000 0.3210 0.0358 x8

Calculated total energy = -0.45857 Ry/atom

=====

# 3
Material: BeCr3Ga
Method: DFT, GGA-PBE
State: relaxed

Cell lengths 3.9862, 3.9862, 3.9862 Å; angles 90.00, 90.00, 90.00 degrees
Space group Pm-3m (No. 221)
Symmetry-distinct sites (fractional):
Be: 0.0000 0.0000 0.0000 x1
Cr: 0.0000 0.0000 0.5000 x3
Ga: 0.5000 0.5000 0.5000 x1

E above lowest polymorph = 0 meV/atom
Energy of formation from the pure elements = 0.709 eV/atom
Calculated total energy = -0.47158 Ry/atom

=====

# 4
Material: LiEuTmGa
Method: DFT, GGA-PBE
State: relaxed

Cell lengths 7.3570, 7.3570, 7.3570 Å; angles 90.00, 90.00, 90.00 degrees
Space group F-43m (No. 216)
Symmetry-distinct sites (fractional):
Li: 0.0000 0.0000 0.0000 x4
Eu: 0.2500 0.2500 0.2500 x4
Tm: 0.2500 0.2500 0.7500 x4
Ga: 0.0000 0.0000 0.5000 x4

Energy of formation from the pure elements = -0.223 eV/atom
Calculated total energy = -0.37810 Ry/atom

=====

# 5
Material: PuNiHg
Method: DFT, GGA-PBE
State: relaxed

Cell lengths 4.7438, 4.7438, 3.1393 Å; angles 90.00, 90.00, 120.00 degrees
Space group P-6m2 (No. 187)
Symmetry-distinct sites (fractional):
Pu: 0.0000 0.0000 0.0000 x1
Ni: 0.3333 0.6667 0.5000 x1
Hg: 0.6667 0.3333 0.5000 x1

Energy of formation from the pure elements = 0.005 eV/atom
Calculated total energy = -0.49976 Ry/atom

=====

# 6
Material: PbSeO4
Method: DFT, GGA-PBE
State: relaxed

Cell lengths 7.0812, 7.5563, 8.8843 Å; angles 90.00, 126.78, 90.00 degrees
Space group P2_1/c (No. 14)
Symmetry-distinct sites (fractional):
Pb: 0.1966 0.1461 0.2863 x4
Se: 0.3112 0.6636 0.1959 x4
O: 0.1337 0.6579 0.6170 x4
O: 0.1832 0.5059 0.2380 x4
O: 0.3469 0.6055 0.0301 x4
O: 0.4106 0.2071 0.1189 x4

E above lowest polymorph = 0 meV/atom
Calculated total energy = -0.39988 Ry/atom